Here is a relaxed Bi2Pt crystal from OQMD via LeMat-Bulk. Energies are from PBE.

abc: 6.871 6.871 5.756
angles: 100.80 100.80 35.97
Fractional coordinates of all 6 atoms:
1 Bi 0.077 0.077 0.298
2 Bi 0.347 0.347 0.178
3 Bi 0.653 0.653 0.822
4 Bi 0.923 0.923 0.702
5 Pt 0.272 0.272 0.676
6 Pt 0.728 0.728 0.324

Properties
Calculated density: 13.01 g/cm3
Space-group type: C2/m (12)
VASP energy: -4.9452 eV/atom

***

Here is a relaxed Pr3TlIr crystal from OQMD via LeMat-Bulk. Energies are from PBE.

abc: 5.906 5.906 8.822
angles: 90.00 90.00 100.43
Fractional coordinates of all 10 atoms:
1 Pr 0.208 0.792 0.000
2 Pr 0.262 0.262 0.311
3 Pr 0.262 0.262 0.689
4 Pr 0.738 0.738 0.311
5 Pr 0.738 0.738 0.689
6 Pr 0.792 0.208 0.000
7 Tl 0.241 0.759 0.500
8 Tl 0.759 0.241 0.500
9 Ir 0.315 0.315 0.000
10 Ir 0.685 0.685 0.000

Properties
Calculated density: 8.99 g/cm3
Space-group type: Cmmm (65)
VASP energy: -5.5453 eV/atom

***

Here is a relaxed CsSmTe crystal from OQMD via LeMat-Bulk. Energies are from PBE.

abc: 5.725 5.725 5.725
angles: 60.00 60.00 60.00
Fractional coordinates of all 3 atoms:
1 Cs 0.000 0.000 0.000
2 Sm 0.250 0.250 0.250
3 Te 0.750 0.750 0.750

Properties
Calculated density: 5.14 g/cm3
Space-group type: F-43m (216)
Distance to the lowest polymorph of the same formula: 608.8 meV/atom
VASP energy: -2.4871 eV/atom

***

Here is a relaxed Rb2TbErS4 crystal from OQMD via LeMat-Bulk. Energies are from PBE.

abc: 4.058 4.058 15.357
angles: 90.00 90.00 120.00
Fractional coordinates of all 8 atoms:
1 Rb 0.333 0.667 0.250
2 Rb 0.667 0.333 0.750
3 Tb 0.000 0.000 0.000
4 Er 0.000 0.000 0.500
5 S 0.333 0.667 0.595
6 S 0.333 0.667 0.903
7 S 0.667 0.333 0.097
8 S 0.667 0.333 0.405

Properties
Calculated density: 4.74 g/cm3
Space-group type: P-3m1 (164)
VASP energy: -5.3068 eV/atom

***

Here is a relaxed TmTlNO crystal from OQMD via LeMat-Bulk. Energies are from PBE.

abc: 5.013 5.013 4.726
angles: 90.00 90.00 90.00
Fractional coordinates of all 8 atoms:
1 Tm 0.250 0.750 0.000
2 Tm 0.750 0.250 0.000
3 Tl 0.250 0.250 0.495
4 Tl 0.750 0.750 0.505
5 N 0.250 0.250 0.994
6 N 0.750 0.750 0.006
7 O 0.250 0.750 0.500
8 O 0.750 0.250 0.500

Properties
Calculated density: 11.28 g/cm3
Space-group type: P4/nmm (129)
Distance to the lowest polymorph of the same formula: 190.6 meV/atom
VASP energy: -6.1489 eV/atom

***

Here is a relaxed GaMo3C2 crystal from OQMD via LeMat-Bulk. Energies are from PBE.

abc: 3.083 3.083 18.343
angles: 90.00 90.00 120.00
Fractional coordinates of all 12 atoms:
1 Ga 0.000 0.000 0.250
2 Ga 0.000 0.000 0.750
3 Mo 0.000 0.000 0.000
4 Mo 0.000 0.000 0.500
5 Mo 0.333 0.667 0.132
6 Mo 0.333 0.667 0.368
7 Mo 0.667 0.333 0.632
8 Mo 0.667 0.333 0.868
9 C 0.333 0.667 0.571
10 C 0.333 0.667 0.929
11 C 0.667 0.333 0.071
12 C 0.667 0.333 0.429

Properties
Calculated density: 8.39 g/cm3
Space-group type: P6_3/mmc (194)
VASP energy: -9.0052 eV/atom

***

- What is the calculated density in the first record?
  13.01 g/cm3